# 1
Density functional theory data (PBE) for a relaxed structure of Rb4GaSn4.

## Properties
Its space-group type is I-42m (121). The formation energy comes out at 52 meV/atom.

Structure (POSCAR):
```
Rb4GaSn4
1.0
7.3325 0.0000 0.0000
-3.6662 8.0850 3.6662
0.0000 0.0000 7.3325
Sn Rb Ga
4 4 1
Cartesian
1.0458 2.2931 1.0458 Sn
6.2867 2.2931 6.2867 Sn
2.6205 5.7919 4.7120 Sn
-2.6205 5.7919 9.9530 Sn
1.3062 5.9826 8.6387 Rb
2.3600 2.1023 4.9724 Rb
-1.3062 5.9826 6.0263 Rb
4.9724 2.1023 2.3601 Rb
0.0000 0.0000 0.0000 Ga
```

# 2
Density functional theory data (PBE) for a relaxed structure of MnRhS2.

## Properties
The energy above the most stable polymorph in this dataset is 129.9 meV per atom. Its space-group type is R-3m (166).

Structure (POSCAR):
```
MnRhS2
1.0
2.0401 0.0000 7.0327
-1.0200 1.7668 7.0327
-1.0200 -1.7668 7.0327
S Mn Rh
2 1 1
Cartesian
0.0000 0.0000 2.2891 S
0.0000 0.0000 18.8090 S
0.0000 0.0000 0.0000 Mn
0.0000 0.0000 10.5490 Rh
```

# 3
Density functional theory data (PBE) for a relaxed structure of Zn2TcTe.

## Properties
Its space-group type is Cm (8). As for the total DFT energy (no corrections): -15.34 eV per cell.

Structure (POSCAR):
```
Zn2TcTe
1.0
4.2926 -0.2721 -0.3928
3.1051 2.9764 -0.3928
0.1853 0.0677 6.0173
Tc Zn Te
1 2 1
Cartesian
3.6351 1.3288 2.9635 Tc
0.7817 0.2857 5.2280 Zn
5.9355 2.1697 3.8571 Zn
1.2075 0.4414 1.8161 Te
```

# 4
Density functional theory data (PBE) for a relaxed structure of SrCaSnPb2.

## Properties
Its space-group type is P4/mmm (123). The formation energy comes out at 422 meV/atom.

Structure (POSCAR):
```
SrCaSnPb2
1.0
-2.9884 4.6582 2.3190
-5.0710 -2.0862 -2.3443
-1.0199 -3.1468 5.0065
Pb Ca Sr Sn
2 1 1 1
Cartesian
-0.5100 -1.5734 2.5033 Pb
-1.4942 2.3291 1.1595 Pb
-4.5397 -0.2874 2.4906 Ca
0.0000 0.0000 0.0000 Sr
-2.5355 -1.0431 -1.1721 Sn
```

# 5
Density functional theory data (PBE) for a relaxed structure of MgMnNb2P.

## Properties
Its space-group type is P4/mmm (123). The formation energy comes out at 713 meV/atom.

Structure (POSCAR):
```
MgMnNb2P
1.0
-0.4321 4.0790 2.1447
-4.3770 0.0577 -0.9917
-0.9288 -2.1870 3.9723
Nb Mn P Mg
2 1 1 1
Cartesian
-0.2161 2.0395 1.0724 Nb
-0.4644 -1.0935 1.9862 Nb
-2.8690 0.9749 2.5627 Mn
0.0000 0.0000 0.0000 P
-2.1885 0.0289 -0.4958 Mg
```

# 6
Density functional theory data (PBE) for a relaxed structure of LiMgNb.

## Properties
The energy above the most stable polymorph in this dataset is 88.7 meV per atom. Its space-group type is P3m1 (156). The formation energy comes out at 254 meV/atom.

Structure (POSCAR):
```
LiMgNb
1.0
-1.4354 0.7837 -4.3403
-3.0437 0.0779 3.4989
0.9760 5.7768 0.7204
Nb Li Mg
2 2 2
Cartesian
-2.1107 2.6621 1.1788 Nb
-1.5793 2.8697 -1.4378 Nb
0.6253 3.7012 0.4616 Li
-1.6222 5.5536 1.5393 Li
0.1697 1.0043 0.1252 Mg
-1.1012 5.6995 -1.0849 Mg
```

# 7
Density functional theory data (PBE) for a relaxed structure of ReSi2W.

## Properties
The energy above the most stable polymorph in this dataset is 0.0 meV per atom. Its space-group type is P4mm (99).

Structure (POSCAR):
```
ReSi2W
1.0
-0.0726 -2.2558 2.1831
1.4229 -1.9702 -1.9885
5.0203 1.6923 1.9155
W Si Re
1 2 1
Cartesian
2.3471 0.7912 0.8955 W
1.9093 -1.6970 0.5682 Si
5.0154 1.6907 1.9136 Si
4.6293 -0.7800 1.6061 Re
```

# 8
Density functional theory data (PBE) for a relaxed structure of Rb3Tm2BiTe6.

## Properties
Its space-group type is C2/m (12). As for the total DFT energy (no corrections): -47.88 eV per cell.

Structure (POSCAR):
```
Rb3Tm2BiTe6
1.0
-6.1808 -3.1025 3.7466
6.8089 -3.9277 -0.2766
2.2732 6.1378 6.0805
Rb Te Bi Tm
3 6 1 2
Cartesian
5.8140 -0.7234 3.4239 Rb
1.4506 -0.4462 4.7753 Rb
-2.9127 -0.1690 6.1267 Rb
-1.6171 -0.3073 2.7149 Te
1.9974 2.9873 5.8365 Te
2.8166 -0.5889 1.3417 Te
0.9038 -3.8797 3.7140 Te
4.5184 -0.5851 6.8357 Te
0.0847 -0.3035 8.2089 Te
0.0000 0.0000 0.0000 Bi
2.4837 -3.6530 1.0630 Tm
-1.8556 -3.3773 2.4070 Tm
```

# 9
Density functional theory data (PBE) for a relaxed structure of Ti5FeSn3.

## Properties
Its space-group type is P6_3/mcm (193). The formation energy comes out at -358 meV/atom.

Structure (POSCAR):
```
Ti5FeSn3
1.0
-2.5403 -7.2972 2.8986
8.0092 1.9743 0.2418
-0.6939 2.2084 4.9515
Ti Sn Fe
10 6 2
Cartesian
0.9762 -4.2067 2.0130 Ti
-2.4475 -3.8794 5.9126 Ti
3.9753 -3.4859 3.6202 Ti
4.1458 -0.0120 3.6032 Ti
0.7998 0.3714 4.4717 Ti
1.7599 1.0287 1.2962 Ti
5.5555 3.1540 3.8971 Ti
-0.7867 -1.2094 1.9376 Ti
4.4927 -1.1162 1.1274 Ti
0.6293 -3.1025 4.4888 Ti
-1.5323 -1.2506 4.8683 Sn
2.6701 2.4428 3.8100 Sn
-1.7018 -3.8382 2.9818 Sn
2.7700 -1.5462 5.6031 Sn
4.6453 1.7400 1.3833 Sn
2.0051 -1.5683 2.4889 Sn
-0.3469 1.1042 2.4758 Fe
0.0000 0.0000 0.0000 Fe
```

# 10
Density functional theory data (PBE) for a relaxed structure of AcHf2O5.

## Properties
Its space-group type is Pmmn (59). As for the total DFT energy (no corrections): -149.93 eV per cell.

Structure (POSCAR):
```
AcHf2O5
1.0
3.7858 0.0000 0.0000
0.0000 5.8095 0.0000
0.0000 0.0000 12.0477
Ac O Hf
2 10 4
Cartesian
1.8929 5.3441 0.0000 Ac
0.0000 0.4654 6.0238 Ac
1.8929 2.2570 6.0238 O
0.0000 2.6247 8.1835 O
0.0000 0.4805 1.4737 O
1.8929 3.1848 2.1597 O
0.0000 0.4805 10.5739 O
0.0000 2.6247 3.8642 O
1.8929 5.3290 4.5501 O
0.0000 3.5526 0.0000 O
1.8929 5.3290 7.4976 O
1.8929 3.1848 9.8880 O
1.8929 3.4178 4.3059 Hf
1.8929 3.4178 7.7418 Hf
0.0000 2.3917 10.3297 Hf
0.0000 2.3917 1.7180 Hf
```

# 11
Density functional theory data (PBE) for a relaxed structure of Sm2Ho2Se2S3.

## Properties
Its space-group type is I4/mmm (139). As for the total DFT energy (no corrections): -53.03 eV per cell.

Structure (POSCAR):
```
Sm2Ho2Se2S3
1.0
-1.5274 1.5395 -4.8996
4.8439 -1.2668 -1.9081
-4.0317 -7.0529 1.9705
Sm Ho S Se
2 2 3 2
Cartesian
-0.9527 -2.7761 -0.5753 Sm
0.2374 -4.0041 -4.2619 Sm
2.4220 -0.6334 -0.9540 Ho
-0.7637 0.7698 -2.4498 Ho
-1.9504 -2.6885 -3.1665 S
1.2352 -4.0917 -1.6707 S
0.0000 0.0000 0.0000 S
1.1736 -1.2761 -3.6966 Se
-1.8888 -5.5041 -1.1406 Se
```

# 12
Density functional theory data (PBE) for a relaxed structure of Sr2LiTcH6.

## Properties
Its space-group type is P-3m1 (164). As for the total DFT energy (no corrections): -40.50 eV per cell.

Structure (POSCAR):
```
Sr2LiTcH6
1.0
-2.9392 1.8657 3.4179
3.5349 -1.3415 3.7721
0.2957 4.7836 -2.3568
H Tc Sr Li
6 1 2 1
Cartesian
2.5318 2.5518 2.3159 H
0.5181 0.7424 1.5719 H
0.3733 4.5653 3.2614 H
-1.6404 2.7559 2.5174 H
-1.4850 5.2705 1.2785 H
2.3764 0.0372 3.5548 H
0.0000 0.0000 0.0000 Tc
0.1624 2.1555 4.3953 Sr
0.7290 3.1522 0.4379 Sr
-1.4696 0.9328 1.7090 Li
```